(1)
# Mn2FeW (GGA-PBE, relaxed)
# ΔE_f   15.81 kJ per mole of atoms
data_Mn2FeW
_chemical_formula_sum 'Mn2 Fe1 W1'
_cell_length_a 2.588
_cell_length_b 2.588
_cell_length_c 7.534
_cell_angle_alpha 90.00
_cell_angle_beta 90.00
_cell_angle_gamma 90.00
_space_group_name_H-M_alt 'P 4/m m m'
_space_group_IT_number 123
_space_group_name_Hall '-P 4 2'
loop_
_atom_site_label
_atom_site_type_symbol
_atom_site_fract_x
_atom_site_fract_y
_atom_site_fract_z
_atom_site_occupancy
Mn1 Mn 0.000 0.000 0.225 1
Fe1 Fe 0.500 0.500 0.000 1
W1 W 0.500 0.500 0.500 1

---

(2)
# MnFe3W2 (GGA-PBE, relaxed)
# ΔE_f   -1.14 kJ per mole of atoms
data_MnFe3W2
_chemical_formula_sum 'Mn3 Fe9 W6'
_cell_length_a 4.7269
_cell_length_b 4.7269
_cell_length_c 11.5594
_cell_angle_alpha 90.00
_cell_angle_beta 90.00
_cell_angle_gamma 120.00
_space_group_name_H-M_alt 'R -3 m'
_space_group_IT_number 166
_space_group_name_Hall '-R 3 2"'
loop_
_atom_site_label
_atom_site_type_symbol
_atom_site_fract_x
_atom_site_fract_y
_atom_site_fract_z
_atom_site_occupancy
Mn1 Mn 0.0000 0.0000 0.0000 1
Fe1 Fe 0.0000 0.5000 0.5000 1
W1 W 0.0000 0.0000 0.3760 1